LiTmRh2, optimized geometry, DFT GGA-PBEsol; E = -6.293 eV/atom; spin magnetization = 0.000 μB per formula unit; DFT formation energy = -0.51 eV/atom; calculated volume = 61 Å³ per cell
1.0
-1.293 -3.237 -2.721
2.033 -0.567 -3.886
2.600 -3.519 -0.642
Rh Li Tm
2 1 1
direct
0.250 0.250 0.250
0.750 0.750 0.750
0.500 0.500 0.500
0.000 0.000 0.000